[1]
LiCaTaH2 | GGA-PBE | optimized geometry

Its magnetization is 0.000 μB per formula unit. The calculated total energy comes out at -4.02 eV per atom.

The structure belongs to space group P4/mmm (No. 123); the cell edges are 3.8288, 3.8288 and 5.1522 Å and the angles 90.00°, 90.00° and 90.00°. The distinct sites, in fractional coordinates, are Li at (0.0000, 0.0000, 0.0000), Ca at (0.5000, 0.5000, 0.0000), Ta at (0.0000, 0.0000, 0.5000) and H at (0.0000, 0.5000, 0.5000).

[2]
Li2CaTeH | GGA-PBE | optimized geometry

Its magnetization is 0.000 μB per formula unit. The calculated total energy comes out at -3.11 eV per atom.

The structure belongs to space group P4/mmm (No. 123); the cell edges are 4.4457, 4.4457 and 4.5617 Å and the angles 90.00°, 90.00° and 90.00°. The distinct sites, in fractional coordinates, are Li at (0.0000, 0.5000, 0.0000), Ca at (0.0000, 0.0000, 0.5000), Te at (0.5000, 0.5000, 0.5000) and H at (0.0000, 0.0000, 0.0000).

[3]
Li2CaTlH | GGA-PBE | optimized geometry

Its magnetization is 0.000 μB per formula unit. The calculated total energy comes out at -2.58 eV per atom.

The structure belongs to space group P4/mmm (No. 123); the cell edges are 4.5301, 4.5301 and 4.6247 Å and the angles 90.00°, 90.00° and 90.00°. The distinct sites, in fractional coordinates, are Li at (0.0000, 0.5000, 0.0000), Ca at (0.0000, 0.0000, 0.5000), Tl at (0.5000, 0.5000, 0.5000) and H at (0.0000, 0.0000, 0.0000).

[4]
LiCa2TlH | GGA-PBE | optimized geometry

The polymorph energy (0 for the lowest one) is 222 meV/atom. Its magnetization is 0.000 μB per formula unit. The calculated total energy comes out at -2.50 eV per atom.

The structure belongs to space group P4/mmm (No. 123); the cell edges are 4.9725, 4.9725 and 4.7561 Å and the angles 90.00°, 90.00° and 90.00°. The distinct sites, in fractional coordinates, are Li at (0.0000, 0.0000, 0.0000), Ca at (0.0000, 0.5000, 0.5000), Tl at (0.5000, 0.5000, 0.0000) and H at (0.5000, 0.5000, 0.5000).